[1]
Compound: ThHg2Pb
Source: Alexandria
Functional: GGA-PBE
Structure: optimized geometry

Output
The calculation puts the energy at -2.999 eV/atom. The theoretical density comes out at 11.449 Mg/m³. For the density of states at the Fermi level, the calculation gives 0.60 states/eV per cell.

Lattice parameters (Å, degrees): 6.653 6.653 6.653 42.54 42.54 42.54
Fractional coordinates of all 4 atoms:
Th 0.000 0.000 0.000
Hg 0.402 0.402 0.402
Hg 0.574 0.574 0.574
Pb 0.811 0.811 0.811



[2]
Compound: ThHgPb6
Source: Alexandria
Functional: GGA-PBE
Structure: optimized geometry

Output
The calculation puts the energy at -3.800 eV/atom. The theoretical density comes out at 11.669 Mg/m³. For the density of states at the Fermi level, the calculation gives 6.69 states/eV per cell.

Lattice parameters (Å, degrees): 6.898 6.898 5.012 90.00 90.00 90.05
Fractional coordinates of all 8 atoms:
Th 0.000 0.000 0.000
Hg 0.500 0.500 0.000
Pb 0.000 0.500 0.000
Pb 0.255 0.255 0.500
Pb 0.255 0.745 0.500
Pb 0.500 0.000 0.000
Pb 0.745 0.255 0.500
Pb 0.745 0.745 0.500



[3]
Compound: Th2HgPb
Source: Alexandria
Functional: GGA-PBE
Structure: optimized geometry

Output
The calculation puts the energy at -4.977 eV/atom. The theoretical density comes out at 12.536 Mg/m³. For the density of states at the Fermi level, the calculation gives 3.06 states/eV per cell.

Lattice parameters (Å, degrees): 5.045 5.045 4.538 90.00 90.00 90.00
Fractional coordinates of all 4 atoms:
Th 0.000 0.500 0.000
Th 0.500 0.000 0.000
Hg 0.000 0.000 0.500
Pb 0.500 0.500 0.500



[4]
Compound: Th2Hg4Pb3
Source: Alexandria
Functional: GGA-PBE
Structure: optimized geometry

Output
The calculation puts the energy at -3.181 eV/atom. The theoretical density comes out at 12.627 Mg/m³. For the density of states at the Fermi level, the calculation gives 4.93 states/eV per cell.

Lattice parameters (Å, degrees): 5.690 5.690 10.540 103.00 103.00 48.66
Fractional coordinates of all 9 atoms:
Th 0.154 0.154 0.214
Th 0.846 0.846 0.786
Hg 0.173 0.173 0.894
Hg 0.488 0.488 0.328
Hg 0.512 0.512 0.672
Hg 0.827 0.827 0.106
Pb 0.169 0.169 0.559
Pb 0.500 0.500 0.000
Pb 0.831 0.831 0.441



[5]
Compound: Th3Hg5Pb
Source: Alexandria
Functional: GGA-PBE
Structure: optimized geometry

Output
The value obtained for the energy above the most stable polymorph in this dataset is 0.0000 eV/atom. The theoretical density comes out at 12.987 Mg/m³. For the density of states at the Fermi level, the calculation gives 12.58 states/eV per cell.

Lattice parameters (Å, degrees): 9.207 9.207 6.640 90.00 90.00 120.00
Fractional coordinates of all 18 atoms:
Th 0.000 0.327 0.250
Th 0.000 0.673 0.750
Th 0.327 0.000 0.250
Th 0.327 0.327 0.750
Th 0.673 0.000 0.750
Th 0.673 0.673 0.250
Hg 0.000 0.343 0.750
Hg 0.000 0.657 0.250
Hg 0.333 0.667 0.000
Hg 0.333 0.667 0.500
Hg 0.343 0.000 0.750
Hg 0.343 0.343 0.250
Hg 0.657 0.000 0.250
Hg 0.657 0.657 0.750
Hg 0.667 0.333 0.000
Hg 0.667 0.333 0.500
Pb 0.000 0.000 0.000
Pb 0.000 0.000 0.500



[6]
Compound: Th2HgPb
Source: Alexandria
Functional: GGA-PBE
Structure: optimized geometry

Output
The calculation puts the energy at -4.963 eV/atom. The theoretical density comes out at 12.596 Mg/m³. For the density of states at the Fermi level, the calculation gives 4.20 states/eV per cell.

Lattice parameters (Å, degrees): 3.526 3.526 9.244 90.00 90.00 90.00
Fractional coordinates of all 4 atoms:
Th 0.000 0.000 0.241
Th 0.000 0.000 0.759
Hg 0.500 0.500 0.000
Pb 0.500 0.500 0.500



[7]
Compound: ThHg2Pb
Source: Alexandria
Functional: GGA-PBE
Structure: optimized geometry

Output
The calculation puts the energy at -3.194 eV/atom. The theoretical density comes out at 12.947 Mg/m³. For the density of states at the Fermi level, the calculation gives 2.26 states/eV per cell.

Lattice parameters (Å, degrees): 4.689 4.689 4.903 90.00 90.00 90.00
Fractional coordinates of all 4 atoms:
Th 0.000 0.000 0.000
Hg 0.000 0.500 0.500
Hg 0.500 0.000 0.500
Pb 0.500 0.500 0.000



[8]
Compound: ThHgPb3
Source: Alexandria
Functional: GGA-PBE
Structure: optimized geometry

Output
The value obtained for the energy above the most stable polymorph in this dataset is 0.0066 eV/atom. The theoretical density comes out at 11.349 Mg/m³. For the density of states at the Fermi level, the calculation gives 4.07 states/eV per cell.

Lattice parameters (Å, degrees): 3.470 3.474 12.855 93.35 93.95 91.97
Fractional coordinates of all 5 atoms:
Th 0.000 0.000 0.000
Hg 0.382 0.405 0.410
Pb 0.020 0.005 0.595
Pb 0.467 0.474 0.804
Pb 0.567 0.558 0.192



[9]
Compound: Th2Hg4Pb
Source: Alexandria
Functional: GGA-PBE
Structure: optimized geometry

Output
The calculation puts the energy at -2.872 eV/atom. The theoretical density comes out at 12.888 Mg/m³. For the density of states at the Fermi level, the calculation gives 6.32 states/eV per cell.

Lattice parameters (Å, degrees): 10.266 10.266 10.266 155.22 155.22 35.33
Fractional coordinates of all 7 atoms:
Th 0.094 0.094 0.000
Th 0.906 0.906 0.000
Hg 0.250 0.750 0.500
Hg 0.349 0.349 0.000
Hg 0.651 0.651 0.000
Hg 0.750 0.250 0.500
Pb 0.500 0.500 0.000



[10]
Compound: ThHg4Pb
Source: Alexandria
Functional: GGA-PBE
Structure: optimized geometry

Output
The value obtained for the energy above the most stable polymorph in this dataset is 0.0000 eV/atom. The theoretical density comes out at 13.205 Mg/m³. For the density of states at the Fermi level, the calculation gives 2.49 states/eV per cell.

Lattice parameters (Å, degrees): 5.127 5.127 6.860 90.00 90.00 120.00
Fractional coordinates of all 6 atoms:
Th 0.000 0.000 0.000
Hg 0.333 0.667 0.235
Hg 0.333 0.667 0.765
Hg 0.667 0.333 0.235
Hg 0.667 0.333 0.765
Pb 0.000 0.000 0.500



[11]
Compound: Th5Hg3Pb3
Source: Alexandria
Functional: GGA-PBE
Structure: optimized geometry

Output
The calculation puts the energy at -4.202 eV/atom. The theoretical density comes out at 11.412 Mg/m³. For the density of states at the Fermi level, the calculation gives 14.12 states/eV per cell.

Lattice parameters (Å, degrees): 10.797 10.797 3.436 90.00 90.00 120.00
Fractional coordinates of all 11 atoms:
Th 0.000 0.344 0.000
Th 0.333 0.667 0.000
Th 0.344 0.000 0.000
Th 0.656 0.656 0.000
Th 0.667 0.333 0.000
Hg 0.000 0.844 0.000
Hg 0.156 0.156 0.000
Hg 0.844 0.000 0.000
Pb 0.000 0.606 0.500
Pb 0.394 0.394 0.500
Pb 0.606 0.000 0.500



[12]
Compound: Th6Hg2Pb
Source: Alexandria
Functional: GGA-PBE
Structure: optimized geometry

Output
The calculation puts the energy at -5.537 eV/atom. The theoretical density comes out at 12.379 Mg/m³. For the density of states at the Fermi level, the calculation gives 18.54 states/eV per cell.

Lattice parameters (Å, degrees): 9.804 9.804 5.922 97.90 97.90 73.14
Fractional coordinates of all 18 atoms:
Th 0.065 0.819 0.984
Th 0.147 0.399 0.149
Th 0.181 0.935 0.516
Th 0.261 0.516 0.687
Th 0.399 0.147 0.649
Th 0.484 0.739 0.813
Th 0.516 0.261 0.187
Th 0.601 0.853 0.351
Th 0.739 0.484 0.313
Th 0.819 0.065 0.484
Th 0.853 0.601 0.851
Th 0.935 0.181 0.016
Hg 0.041 0.291 0.584
Hg 0.291 0.041 0.084
Hg 0.709 0.959 0.916
Hg 0.959 0.709 0.416
Pb 0.375 0.625 0.250
Pb 0.625 0.375 0.750



[13]
Compound: ThHgPb3
Source: Alexandria
Functional: GGA-PBE
Structure: optimized geometry

Output
The value obtained for the energy above the most stable polymorph in this dataset is 0.0000 eV/atom. The theoretical density comes out at 11.367 Mg/m³. For the density of states at the Fermi level, the calculation gives 5.97 states/eV per cell.

Lattice parameters (Å, degrees): 3.503 7.968 11.580 107.20 92.70 91.96
Fractional coordinates of all 10 atoms:
Th 0.004 0.428 0.337
Th 0.996 0.572 0.663
Hg 0.494 0.341 0.801
Hg 0.506 0.659 0.199
Pb 0.053 0.283 0.028
Pb 0.463 0.199 0.503
Pb 0.481 0.049 0.196
Pb 0.519 0.951 0.804
Pb 0.537 0.801 0.497
Pb 0.947 0.717 0.972



[14]
Compound: Th3Hg2Pb
Source: Alexandria
Functional: GGA-PBE
Structure: optimized geometry

Output
The value obtained for the energy above the most stable polymorph in this dataset is 0.0000 eV/atom. The theoretical density comes out at 12.778 Mg/m³. For the density of states at the Fermi level, the calculation gives 6.62 states/eV per cell.

Lattice parameters (Å, degrees): 3.487 3.487 13.940 90.00 90.00 90.00
Fractional coordinates of all 6 atoms:
Th 0.000 0.000 0.000
Th 0.000 0.000 0.324
Th 0.000 0.000 0.676
Hg 0.500 0.500 0.164
Hg 0.500 0.500 0.836
Pb 0.500 0.500 0.500



[15]
Compound: Th4HgPb3
Source: Alexandria
Functional: GGA-PBE
Structure: optimized geometry

Output
The calculation puts the energy at -5.393 eV/atom. The theoretical density comes out at 12.187 Mg/m³. For the density of states at the Fermi level, the calculation gives 7.45 states/eV per cell.

Lattice parameters (Å, degrees): 8.043 8.043 5.884 111.37 111.37 42.91
Fractional coordinates of all 8 atoms:
Th 0.126 0.126 0.125
Th 0.374 0.374 0.374
Th 0.626 0.626 0.626
Th 0.874 0.874 0.875
Hg 0.000 0.000 0.500
Pb 0.247 0.247 0.747
Pb 0.500 0.500 0.000
Pb 0.753 0.753 0.253



[16]
Compound: ThHg4Pb
Source: Alexandria
Functional: GGA-PBE
Structure: optimized geometry

Output
The value obtained for the energy above the most stable polymorph in this dataset is 0.1923 eV/atom. The theoretical density comes out at 13.035 Mg/m³. For the density of states at the Fermi level, the calculation gives 4.04 states/eV per cell.

Lattice parameters (Å, degrees): 6.070 6.070 6.070 60.00 60.00 60.00
Fractional coordinates of all 6 atoms:
Th 0.000 0.000 0.000
Hg 0.375 0.375 0.375
Hg 0.375 0.375 0.874
Hg 0.375 0.874 0.375
Hg 0.874 0.375 0.375
Pb 0.750 0.750 0.750



[17]
Compound: Th3Hg2Pb
Source: Alexandria
Functional: GGA-PBE
Structure: optimized geometry

Output
The value obtained for the energy above the most stable polymorph in this dataset is 0.0038 eV/atom. The theoretical density comes out at 12.721 Mg/m³. For the density of states at the Fermi level, the calculation gives 8.11 states/eV per cell.

Lattice parameters (Å, degrees): 7.871 7.871 4.581 90.00 90.00 143.13
Fractional coordinates of all 6 atoms:
Th 0.000 0.000 0.000
Th 0.332 0.668 0.000
Th 0.668 0.332 0.000
Hg 0.169 0.831 0.500
Hg 0.831 0.169 0.500
Pb 0.500 0.500 0.500



[18]
Compound: Th2Hg6Pb
Source: Alexandria
Functional: GGA-PBE
Structure: optimized geometry

Output
The calculation puts the energy at -2.342 eV/atom. The theoretical density comes out at 13.286 Mg/m³. For the density of states at the Fermi level, the calculation gives 4.91 states/eV per cell.

Lattice parameters (Å, degrees): 6.683 6.683 6.058 90.00 90.00 120.00
Fractional coordinates of all 9 atoms:
Th 0.333 0.667 0.165
Th 0.667 0.333 0.835
Hg 0.185 0.371 0.669
Hg 0.185 0.815 0.669
Hg 0.371 0.185 0.331
Hg 0.629 0.815 0.669
Hg 0.815 0.185 0.331
Hg 0.815 0.629 0.331
Pb 0.000 0.000 0.000



[19]
Compound: ThHg2Pb
Source: Alexandria
Functional: GGA-PBE
Structure: optimized geometry

Output
The calculation puts the energy at -3.090 eV/atom. The theoretical density comes out at 12.670 Mg/m³. For the density of states at the Fermi level, the calculation gives 1.58 states/eV per cell.

Lattice parameters (Å, degrees): 3.746 3.746 7.849 90.00 90.00 90.00
Fractional coordinates of all 4 atoms:
Th 0.000 0.000 0.000
Hg 0.500 0.500 0.251
Hg 0.500 0.500 0.749
Pb 0.000 0.000 0.500



[20]
Compound: ThHg4Pb
Source: Alexandria
Functional: GGA-PBE
Structure: optimized geometry

Output
The value obtained for the energy above the most stable polymorph in this dataset is 0.2559 eV/atom. The theoretical density comes out at 11.144 Mg/m³. For the density of states at the Fermi level, the calculation gives 5.62 states/eV per cell.

Lattice parameters (Å, degrees): 4.582 4.595 8.786 90.00 90.00 90.00
Fractional coordinates of all 6 atoms:
Th 0.000 0.000 0.000
Hg 0.000 0.500 0.251
Hg 0.000 0.500 0.749
Hg 0.500 0.000 0.252
Hg 0.500 0.000 0.748
Pb 0.500 0.500 0.500



[21]
Compound: Th4Hg3Pb
Source: Alexandria
Functional: GGA-PBE
Structure: optimized geometry

Output
The calculation puts the energy at -4.500 eV/atom. The theoretical density comes out at 12.728 Mg/m³. For the density of states at the Fermi level, the calculation gives 17.39 states/eV per cell.

Lattice parameters (Å, degrees): 11.176 7.063 5.742 90.00 90.00 90.00
Fractional coordinates of all 16 atoms:
Th 0.000 0.246 0.000
Th 0.000 0.754 0.000
Th 0.250 0.246 0.400
Th 0.250 0.754 0.400
Th 0.500 0.246 0.000
Th 0.500 0.754 0.000
Th 0.750 0.246 0.600
Th 0.750 0.754 0.600
Hg 0.000 0.000 0.500
Hg 0.250 0.000 0.891
Hg 0.250 0.500 0.899
Hg 0.500 0.000 0.500
Hg 0.750 0.000 0.109
Hg 0.750 0.500 0.101
Pb 0.000 0.500 0.500
Pb 0.500 0.500 0.500



[22]
Compound: ThHgPb2
Source: Alexandria
Functional: GGA-PBE
Structure: optimized geometry

Output
The value obtained for the energy above the most stable polymorph in this dataset is 0.4555 eV/atom. The theoretical density comes out at 11.291 Mg/m³. For the density of states at the Fermi level, the calculation gives 3.73 states/eV per cell.

Lattice parameters (Å, degrees): 11.665 11.665 11.665 17.45 17.45 17.45
Fractional coordinates of all 4 atoms:
Th 0.000 0.000 0.000
Hg 0.500 0.500 0.500
Pb 0.095 0.095 0.095
Pb 0.905 0.905 0.905



[23]
Compound: Th5HgPb3
Source: Alexandria
Functional: GGA-PBE
Structure: optimized geometry

Output
The calculation puts the energy at -5.723 eV/atom. The theoretical density comes out at 12.031 Mg/m³. For the density of states at the Fermi level, the calculation gives 20.49 states/eV per cell.

Lattice parameters (Å, degrees): 9.751 9.751 6.646 90.00 90.00 120.00
Fractional coordinates of all 18 atoms:
Th 0.000 0.278 0.250
Th 0.000 0.722 0.750
Th 0.278 0.000 0.250
Th 0.278 0.278 0.750
Th 0.333 0.667 0.000
Th 0.333 0.667 0.500
Th 0.667 0.333 0.000
Th 0.667 0.333 0.500
Th 0.722 0.000 0.750
Th 0.722 0.722 0.250
Hg 0.000 0.000 0.000
Hg 0.000 0.000 0.500
Pb 0.000 0.376 0.750
Pb 0.000 0.624 0.250
Pb 0.376 0.000 0.750
Pb 0.376 0.376 0.250
Pb 0.624 0.000 0.250
Pb 0.624 0.624 0.750



[24]
Compound: Th5HgPb
Source: Alexandria
Functional: GGA-PBE
Structure: optimized geometry

Output
The calculation puts the energy at -5.664 eV/atom. The theoretical density comes out at 11.106 Mg/m³. For the density of states at the Fermi level, the calculation gives 20.21 states/eV per cell.

Lattice parameters (Å, degrees): 8.147 8.147 8.273 110.83 110.83 71.89
Fractional coordinates of all 14 atoms:
Th 0.083 0.917 0.750
Th 0.145 0.302 0.078
Th 0.197 0.697 0.376
Th 0.302 0.145 0.578
Th 0.303 0.803 0.124
Th 0.697 0.197 0.876
Th 0.698 0.855 0.422
Th 0.803 0.303 0.624
Th 0.855 0.698 0.922
Th 0.917 0.083 0.250
Hg 0.000 0.500 0.500
Hg 0.500 0.000 0.000
Pb 0.439 0.561 0.750
Pb 0.561 0.439 0.250